Density functional theory data (PBE) for a geometry-optimized Rb2SrSi2S6 structure.

Output
**N(E_F)**: 0.00 states/eV per atom
**Space-group type**: No. 166

Cell: 9.1078 9.1078 9.1078 Å, 46.60 46.60 46.60°
Positions (direct):
Rb  0.2132  0.2132  0.2132
Rb  0.7868  0.7868  0.7868
Sr  0.0000  0.0000  0.0000
Si  0.4165  0.4165  0.4165
Si  0.5835  0.5835  0.5835
S  0.2532  0.7432  0.7432
S  0.2568  0.2567  0.7468
S  0.2568  0.7468  0.2568
S  0.7433  0.2532  0.7433
S  0.7433  0.7432  0.2532
S  0.7468  0.2568  0.2567

---

Density functional theory data (PBE) for a geometry-optimized RbSiTc2S structure.

Output
**N(E_F)**: 0.97 states/eV per atom
**Space-group type**: No. 123

Cell: 4.9085 4.9085 5.3772 Å, 90.00 90.00 90.00°
Positions (direct):
Rb  0.0000  0.0000  0.0000
Si  0.0000  0.0000  0.5000
Tc  0.0000  0.5000  0.0000
Tc  0.5000  0.0000  0.0000
S  0.5000  0.5000  0.5000

---

Density functional theory data (PBE) for a geometry-optimized Rb2TiSiS4 structure.

Output
**Space-group type**: No. 70

Cell: 13.6010 12.2473 7.4407 Å, 83.58 63.49 32.93°
Positions (direct):
Rb  0.0527  0.0527  0.6973
Rb  0.3027  0.3027  0.9473
Rb  0.6973  0.6973  0.0527
Rb  0.9473  0.9473  0.3027
Ti  0.1250  0.1250  0.1250
Ti  0.8750  0.8750  0.8750
Si  0.3750  0.3750  0.3750
Si  0.6250  0.6250  0.6250
S  0.0066  0.3401  0.4191
S  0.2657  0.5809  0.6599
S  0.3401  0.0066  0.7343
S  0.4191  0.7343  0.0066
S  0.5809  0.2657  0.9934
S  0.6599  0.9934  0.2657
S  0.7343  0.4191  0.3401
S  0.9934  0.6599  0.5809

---

Density functional theory data (PBE) for a geometry-optimized Rb2TlSiS4 structure.

Output
**N(E_F)**: 0.75 states/eV per atom
**Space-group type**: No. 82

Cell: 6.9187 6.9187 6.9187 Å, 112.47 112.47 103.63°
Positions (direct):
Rb  0.0000  0.0000  0.0000
Rb  0.7500  0.2500  0.5000
Tl  0.2500  0.7500  0.5000
Si  0.5000  0.5000  0.0000
S  0.2212  0.5538  0.0396
S  0.4462  0.4858  0.6674
S  0.5142  0.1817  0.9604
S  0.8183  0.7788  0.3326

---

Density functional theory data (PBE) for a geometry-optimized Rb2TlSi2S6 structure.

Output
**N(E_F)**: 0.42 states/eV per atom
**Space-group type**: No. 166

Cell: 8.9751 8.9751 8.9751 Å, 46.91 46.91 46.91°
Positions (direct):
Rb  0.2163  0.2163  0.2163
Rb  0.7837  0.7837  0.7837
Tl  0.0000  0.0000  0.0000
Si  0.4177  0.4177  0.4177
Si  0.5823  0.5823  0.5823
S  0.2481  0.7439  0.7439
S  0.2561  0.2561  0.7519
S  0.2561  0.7519  0.2561
S  0.7439  0.2481  0.7439
S  0.7439  0.7439  0.2481
S  0.7519  0.2561  0.2561

---

Density functional theory data (PBE) for a geometry-optimized RbTl2SiS4 structure.

Output
**N(E_F)**: 0.44 states/eV per atom
**Space-group type**: No. 15

Cell: 8.6218 8.6218 8.9894 Å, 121.38 121.38 74.28°
Positions (direct):
Rb  0.0000  0.5000  0.0000
Rb  0.5000  0.0000  0.5000
Tl  0.0000  0.0000  0.0000
Tl  0.0000  0.0000  0.5000
Tl  0.0000  0.5000  0.5000
Tl  0.5000  0.0000  0.0000
Si  0.5000  0.5000  0.0000
Si  0.5000  0.5000  0.5000
S  0.2908  0.2918  0.7906
S  0.2910  0.7080  0.5095
S  0.2918  0.2908  0.2906
S  0.2920  0.7090  0.9905
S  0.7080  0.2910  0.0095
S  0.7082  0.7092  0.7094
S  0.7090  0.2920  0.4905
S  0.7092  0.7082  0.2094

---

Density functional theory data (PBE) for a geometry-optimized Rb2TmSiS4 structure.

Output
**N(E_F)**: 0.29 states/eV per atom
**Space-group type**: No. 70

Cell: 14.2554 12.8129 7.7468 Å, 83.94 63.35 32.71°
Positions (direct):
Rb  0.0555  0.0555  0.6945
Rb  0.3055  0.3055  0.9445
Rb  0.6945  0.6945  0.0555
Rb  0.9445  0.9445  0.3055
Tm  0.1250  0.1250  0.1250
Tm  0.8750  0.8750  0.8750
Si  0.3750  0.3750  0.3750
Si  0.6250  0.6250  0.6250
S  0.0312  0.6233  0.5394
S  0.3061  0.5394  0.6233
S  0.3767  0.9688  0.6939
S  0.4606  0.6939  0.9688
S  0.5394  0.3061  0.0312
S  0.6233  0.0312  0.3061
S  0.6939  0.4606  0.3767
S  0.9688  0.3767  0.4606

---

Density functional theory data (PBE) for a geometry-optimized RbTmSiS4 structure.

Output
**N(E_F)**: 0.00 states/eV per atom
**Space-group type**: No. 11

Cell: 6.3523 6.6670 9.0487 Å, 90.00 107.98 90.00°
Positions (direct):
Rb  0.2345  0.2500  0.4378
Rb  0.7655  0.7500  0.5622
Tm  0.2758  0.2500  0.9528
Tm  0.7242  0.7500  0.0472
Si  0.2743  0.7500  0.1622
Si  0.7257  0.2500  0.8378
S  0.0674  0.7500  0.9290
S  0.0789  0.7500  0.3132
S  0.4996  0.0019  0.8019
S  0.4996  0.4981  0.8019
S  0.5004  0.5019  0.1981
S  0.5004  0.9981  0.1981
S  0.9211  0.2500  0.6868
S  0.9326  0.2500  0.0710

---

Density functional theory data (PBE) for a geometry-optimized Rb2TmSi2S6 structure.

Output
**N(E_F)**: 0.38 states/eV per atom
**Space-group type**: No. 12

Cell: 7.0678 7.0678 7.9299 Å, 117.14 117.14 60.37°
Positions (direct):
Rb  0.2175  0.2175  0.2098
Rb  0.7825  0.7825  0.7902
Tm  0.0000  0.0000  0.5000
Si  0.4565  0.4565  0.8105
Si  0.5435  0.5435  0.1895
S  0.2123  0.7072  0.2162
S  0.2552  0.2552  0.6670
S  0.2928  0.7877  0.7838
S  0.7072  0.2123  0.2162
S  0.7448  0.7448  0.3330
S  0.7877  0.2928  0.7838

---

Density functional theory data (PBE) for a geometry-optimized RbUSiS6 structure.

Output
**N(E_F)**: 1.38 states/eV per atom
**Space-group type**: No. 149

Cell: 6.2068 6.2068 7.9277 Å, 90.00 90.00 120.00°
Positions (direct):
Rb  0.0000  0.0000  0.0000
U  0.3333  0.6667  0.5000
Si  0.6667  0.3333  0.5000
S  0.3732  0.0299  0.6762
S  0.3732  0.3433  0.3238
S  0.6567  0.0299  0.3238
S  0.6567  0.6268  0.6762
S  0.9701  0.3433  0.6762
S  0.9701  0.6268  0.3238

---

Density functional theory data (PBE) for a geometry-optimized Rb2VSiS4 structure.

Output
**N(E_F)**: 0.08 states/eV per atom
**Space-group type**: No. 70

Cell: 13.6169 12.2285 7.3580 Å, 84.18 63.30 32.52°
Positions (direct):
Rb  0.0528  0.0528  0.6972
Rb  0.3028  0.3028  0.9472
Rb  0.6972  0.6972  0.0528
Rb  0.9472  0.9472  0.3028
V  0.1250  0.1250  0.1250
V  0.8750  0.8750  0.8750
Si  0.3750  0.3750  0.3750
Si  0.6250  0.6250  0.6250
S  0.0159  0.6358  0.5532
S  0.2951  0.5532  0.6358
S  0.3642  0.9841  0.7049
S  0.4468  0.7049  0.9841
S  0.5532  0.2951  0.0159
S  0.6358  0.0159  0.2951
S  0.7049  0.4468  0.3642
S  0.9841  0.3642  0.4468

---

Density functional theory data (PBE) for a geometry-optimized RbSm3S4 structure.

Output
**N(E_F)**: 0.41 states/eV per atom
**Space-group type**: No. 194

Cell: 4.0845 4.0845 28.4377 Å, 90.00 90.00 120.00°
Positions (direct):
Rb  0.3333  0.6667  0.2500
Rb  0.6667  0.3333  0.7500
Sm  0.0000  0.0000  0.0000
Sm  0.0000  0.0000  0.5000
Sm  0.3333  0.6667  0.6136
Sm  0.3333  0.6667  0.8864
Sm  0.6667  0.3333  0.1136
Sm  0.6667  0.3333  0.3864
S  0.0000  0.0000  0.1672
S  0.0000  0.0000  0.3328
S  0.0000  0.0000  0.6672
S  0.0000  0.0000  0.8328
S  0.3333  0.6667  0.0570
S  0.3333  0.6667  0.4430
S  0.6667  0.3333  0.5570
S  0.6667  0.3333  0.9430

---

Density functional theory data (PBE) for a geometry-optimized RbSmS structure.

Output
**N(E_F)**: 0.66 states/eV per atom
**Space-group type**: No. 12

Cell: 4.1131 4.1131 15.6349 Å, 97.04 97.04 59.98°
Positions (direct):
Rb  0.0565  0.0565  0.1464
Rb  0.9435  0.9435  0.8536
Sm  0.1344  0.1344  0.3990
Sm  0.8656  0.8656  0.6010
S  0.2292  0.2292  0.6986
S  0.7708  0.7708  0.3014

---

Density functional theory data (PBE) for a geometry-optimized RbSm6S8 structure.

Output
**N(E_F)**: 0.57 states/eV per atom
**Space-group type**: No. 148

Cell: 8.0043 8.0043 8.0043 Å, 94.13 94.13 94.13°
Positions (direct):
Rb  0.0000  0.0000  0.0000
Sm  0.1920  0.3770  0.5666
Sm  0.3770  0.5666  0.1920
Sm  0.4334  0.8080  0.6230
Sm  0.5666  0.1920  0.3770
Sm  0.6230  0.4334  0.8080
Sm  0.8080  0.6230  0.4334
S  0.1480  0.6827  0.4121
S  0.2518  0.2518  0.2518
S  0.3173  0.5879  0.8520
S  0.4121  0.1480  0.6827
S  0.5879  0.8520  0.3173
S  0.6827  0.4121  0.1480
S  0.7482  0.7482  0.7482
S  0.8520  0.3173  0.5879

---

Density functional theory data (PBE) for a geometry-optimized Rb3Sm3SnS8 structure.

Output
**Space-group type**: No. 166

Cell: 9.1718 9.1718 9.1718 Å, 52.77 52.77 52.77°
Positions (direct):
Rb  0.0000  0.5000  0.5000
Rb  0.5000  0.0000  0.5000
Rb  0.5000  0.5000  0.0000
Sm  0.0000  0.0000  0.5000
Sm  0.0000  0.5000  0.0000
Sm  0.5000  0.0000  0.0000
Sn  0.5000  0.5000  0.5000
S  0.2311  0.2311  0.2311
S  0.2501  0.7182  0.7182
S  0.2818  0.2818  0.7499
S  0.2818  0.7499  0.2818
S  0.7182  0.2501  0.7182
S  0.7182  0.7182  0.2501
S  0.7499  0.2818  0.2818
S  0.7689  0.7689  0.7689

---

Density functional theory data (PBE) for a geometry-optimized Rb3Sm2SnS6 structure.

Output
**N(E_F)**: 0.44 states/eV per atom
**Space-group type**: No. 12

Cell: 7.1917 7.1917 8.0439 Å, 98.56 98.56 120.01°
Positions (direct):
Rb  0.0000  0.0000  0.0000
Rb  0.3337  0.6663  0.0000
Rb  0.6663  0.3337  0.0000
Sm  0.1667  0.8333  0.5000
Sm  0.8333  0.1667  0.5000
Sn  0.5000  0.5000  0.5000
S  0.1063  0.4354  0.3060
S  0.2356  0.2356  0.6939
S  0.4354  0.1063  0.3060
S  0.5646  0.8937  0.6940
S  0.7644  0.7644  0.3061
S  0.8937  0.5646  0.6940

---

Density functional theory data (PBE) for a geometry-optimized RbTb4SmS8 structure.

Output
**N(E_F)**: 0.00 states/eV per atom
**Space-group type**: No. 160

Cell: 8.3669 8.3669 8.3669 Å, 59.49 59.49 59.49°
Positions (direct):
Rb  0.0000  0.0000  0.0000
Tb  0.1143  0.6316  0.6316
Tb  0.2527  0.2527  0.2527
Tb  0.6316  0.1143  0.6316
Tb  0.6316  0.6316  0.1143
Sm  0.6320  0.6320  0.6320
S  0.3828  0.3828  0.8573
S  0.3828  0.8573  0.3828
S  0.3843  0.3843  0.3843
S  0.4327  0.8617  0.8617
S  0.8573  0.3828  0.3828
S  0.8577  0.8577  0.8577
S  0.8617  0.4327  0.8617
S  0.8617  0.8617  0.4327

---

Density functional theory data (PBE) for a geometry-optimized Rb3TbSm2S6 structure.

Output
**N(E_F)**: 0.00 states/eV per atom
**Space-group type**: No. 12

Cell: 7.1833 7.1833 8.0686 Å, 98.53 98.53 120.00°
Positions (direct):
Rb  0.0000  0.0000  0.0000
Rb  0.3329  0.6671  0.0000
Rb  0.6671  0.3329  0.0000
Tb  0.5000  0.5000  0.5000
Sm  0.1666  0.8334  0.5000
Sm  0.8334  0.1666  0.5000
S  0.1060  0.4352  0.3056
S  0.2357  0.2357  0.6945
S  0.4352  0.1060  0.3056
S  0.5648  0.8940  0.6944
S  0.7643  0.7643  0.3055
S  0.8940  0.5648  0.6944

---

Density functional theory data (PBE) for a geometry-optimized Rb3Sm3TcS8 structure.

Output
**Space-group type**: No. 166

Cell: 9.1181 9.1181 9.1181 Å, 52.33 52.33 52.33°
Positions (direct):
Rb  0.0000  0.5000  0.5000
Rb  0.5000  0.0000  0.5000
Rb  0.5000  0.5000  0.0000
Sm  0.0000  0.0000  0.5000
Sm  0.0000  0.5000  0.0000
Sm  0.5000  0.0000  0.0000
Tc  0.5000  0.5000  0.5000
S  0.2322  0.2322  0.2322
S  0.2608  0.7095  0.7095
S  0.2905  0.2905  0.7392
S  0.2905  0.7392  0.2905
S  0.7095  0.2608  0.7095
S  0.7095  0.7095  0.2608
S  0.7392  0.2905  0.2905
S  0.7678  0.7678  0.7678

---

Density functional theory data (PBE) for a geometry-optimized RbSmTeS structure.

Output
**Space-group type**: No. 160

Cell: 8.7378 8.7378 8.7378 Å, 28.75 28.75 28.75°
Positions (direct):
Rb  0.0000  0.0000  0.0000
Sm  0.1557  0.1557  0.1557
Te  0.5648  0.5648  0.5648
S  0.7668  0.7668  0.7668

---

Record-wise E_form (uncorrected) values, in meV/atom: -1071, 3123, -1031, -816, -673, -353, -1124, -1410, -1060, -721, -925, -1919, -995, -1794, -1528, -1441, -1902, -1843, -1473, -1560